1.
{"formula": "SrAs2P", "functional": "PBE", "state": "relaxed", "dos_at_fermi_per_ev_cell": 2.76, "sg": "No. 160", "ef_mev_per_atom": -223, "cell": [[-5.6421, -2.9522, 4.3017], [-2.3769, -3.9306, 6.1606], [-3.8834, -0.3819, 6.6201]], "species": ["Sr", "As", "P", "As"], "fractional_positions": [[0.7539, 0.7539, 0.7539], [0.2461, 0.2461, 0.2461], [0.5153, 0.5153, 0.5153], [0.9847, 0.9847, 0.9847]]}

2.
{"formula": "Pa2TcNi", "functional": "PBE", "state": "relaxed", "dos_at_fermi_per_ev_cell": 3.16, "sg": "No. 166", "ef_mev_per_atom": 248, "polymorph_energy_ev_per_atom": 0.5810, "cell": [[-1.8770, 2.3147, 0.7482], [-3.0436, -0.4200, -0.0271], [-1.3449, -2.1014, 9.4357]], "species": ["Ni", "Pa", "Pa", "Tc"], "fractional_positions": [[0.0000, 0.0000, 0.0000], [0.0872, 0.0872, 0.7384], [0.9128, 0.9128, 0.2616], [0.5000, 0.5000, 0.5000]]}